# Nd3Sn5Au6 SCAN single point on PBEsol structure
data_Nd3Sn5Au6
_cell_length_a 4.494
_cell_length_b 13.358
_cell_length_c 10.382
_cell_angle_alpha 90.00
_cell_angle_beta 90.00
_cell_angle_gamma 90.00
_symmetry_space_group_name_H-M 'P m m n'
_symmetry_Int_Tables_number 59
loop_
_symmetry_equiv_pos_as_xyz
'x,y,z'
'-x,-y,-z'
'-x+1/2,-y+1/2,z'
'x+1/2,y+1/2,-z'
'x+1/2,-y,-z'
'-x+1/2,y,z'
'-x,y+1/2,-z'
'x,-y+1/2,z'
loop_
_atom_site_label
_atom_site_type_symbol
_atom_site_fract_x
_atom_site_fract_y
_atom_site_fract_z
Nd1 Nd 0.250 0.068 0.246
Nd2 Nd 0.250 0.750 0.244
Sn1 Sn 0.250 0.085 0.879
Sn2 Sn 0.250 0.609 0.523
Sn3 Sn 0.250 0.750 0.771
Au1 Au 0.250 0.087 0.624
Au2 Au 0.250 0.250 0.039
Au3 Au 0.250 0.250 0.446
Au4 Au 0.250 0.608 0.975
# - total magnetization (μB per cell) = 0.00
# - DFT total energy (hartree per atom) = -1.9313
# - formation energy (eV/atom) = -0.746